# 1
A plane-wave DFT calculation with PBE was carried out for a geometry-optimized Cs3PuGa2S6 structure.

abc: 7.500 7.500 9.261
angles: 90.00 90.00 120.00
Last column: magnetic moment on the atom in μB.
Element x y z (fractional)
Ga 0.667 0.333 0.689  0.01
Ga 0.333 0.667 0.311  0.01
Cs 0.667 0.333 0.290  0.00
Cs 0.000 0.000 0.000  0.00
Cs 0.333 0.667 0.710  0.00
Pu 0.000 0.000 0.500  5.06
S 0.164 0.836 0.305  -0.03
S 0.672 0.836 0.305  -0.03
S 0.164 0.328 0.305  -0.03
S 0.328 0.164 0.695  -0.03
S 0.836 0.164 0.695  -0.03
S 0.836 0.672 0.695  -0.03

Values from the calculation:
* N(E_F): 1.171 states/eV/atom
* V: 451.1 Å³ per cell
* raw formation energy: -1067.5 meV per atom
* space group: No. 164

# 2
A plane-wave DFT calculation with PBE was carried out for a geometry-optimized LiMg2Ag2 structure.

abc: 7.797 7.797 3.242
angles: 90.00 90.00 90.00
Element x y z (fractional)
Mg 0.341 0.159 0.500
Mg 0.841 0.341 0.500
Mg 0.659 0.841 0.500
Mg 0.159 0.659 0.500
Ag 0.362 0.862 0.000
Ag 0.138 0.362 0.000
Ag 0.862 0.638 0.000
Ag 0.638 0.138 0.000
Li 0.000 0.000 0.000
Li 0.500 0.500 0.000

Values from the calculation:
* N(E_F): 0.380 states/eV/atom
* energy above the most stable polymorph in this dataset: 36 meV per atom
* V: 197.1 Å³ per cell
* ΔH_f (0 K): -0.879 eV/f.u.
* space group: No. 127

# 3
A plane-wave DFT calculation with PBE was carried out for a geometry-optimized Sm7SiSe5 structure.

abc: 4.142 7.118 24.484
angles: 90.02 90.00 106.92
Element x y z (fractional)
Sm 0.906 0.813 0.381
Sm 0.094 0.188 0.881
Sm 0.093 0.187 0.618
Sm 0.805 0.610 0.818
Sm 0.805 0.609 0.682
Sm 0.907 0.815 0.118
Sm 0.195 0.391 0.318
Sm 0.362 0.724 0.962
Sm 0.361 0.723 0.538
Sm 0.639 0.278 0.038
Sm 0.463 0.926 0.250
Sm 0.196 0.392 0.182
Sm 0.639 0.277 0.462
Sm 0.538 0.076 0.750
Se 0.001 0.001 0.000
Se 0.447 0.895 0.644
Se 0.553 0.107 0.145
Se 0.724 0.448 0.928
Se 0.553 0.105 0.356
Se 0.000 0.000 0.500
Se 0.277 0.553 0.428
Se 0.277 0.555 0.072
Se 0.723 0.447 0.572
Se 0.448 0.895 0.856
Si 0.810 0.621 0.250
Si 0.190 0.380 0.750

Values from the calculation:
* N(E_F): 0.601 states/eV/atom
* V: 690.7 Å³ per cell
* raw formation energy: -1539.7 meV per atom
* space group: No. 8

# 4
A plane-wave DFT calculation with PBE was carried out for a geometry-optimized GaAsRh2 structure.

abc: 4.362 4.362 4.362
angles: 60.00 60.00 60.00
Element x y z (fractional)
Ga 0.000 0.000 0.000
Rh 0.250 0.250 0.250
Rh 0.750 0.750 0.750
As 0.500 0.500 0.500

Values from the calculation:
* N(E_F): 1.395 states/eV/atom
* energy above the most stable polymorph in this dataset: 227 meV per atom
* V: 58.7 Å³ per cell
* ΔH_f (0 K): -1.260 eV/f.u.
* space group: No. 225

# 5
A plane-wave DFT calculation with PBE was carried out for a geometry-optimized PrHfBe structure.

abc: 4.677 3.306 11.993
angles: 90.00 90.00 135.02
Element x y z (fractional)
Pr 0.695 0.389 0.335
Pr 0.695 0.389 0.665
Be 0.694 0.389 0.000
Be 0.195 0.389 0.500
Hf 0.194 0.389 0.123
Hf 0.194 0.389 0.877

Values from the calculation:
* N(E_F): 1.041 states/eV/atom
* V: 131.1 Å³ per cell
* ΔH_f (0 K): 0.680 eV/f.u.
* space group: No. 123

# 6
A plane-wave DFT calculation with PBE was carried out for a geometry-optimized Na2PtPb structure.

abc: 3.209 3.209 11.164
angles: 81.74 81.74 60.00
Element x y z (fractional)
Pb 0.000 0.000 0.000
Pt 0.500 0.500 0.500
Na 0.100 0.100 0.700
Na 0.900 0.900 0.300

Values from the calculation:
* N(E_F): 0.746 states/eV/atom
* V: 98.2 Å³ per cell
* ΔH_f (0 K): 0.355 eV/f.u.
* space group: No. 166

Q: Which uncorrected energy values were calculated for the entries above? A: -5.043; -2.337; -5.838; -5.910; -5.926; -3.008, in eV/atom.